Compound: La2Nd2Br7
Source: Alexandria via LeMat-Bulk
Functional: PBE
Structure: optimized geometry

- Symmetry: No. 12
- Formation energy without anion corrections: -16.01 eV/f.u.

Cell lengths 7.694, 7.694, 7.884 Å; angles 90.90, 90.90, 109.40 degrees
Sites, in units of the cell vectors:
La (0.150, 0.850, 0.000)
La (0.850, 0.150, 0.000)
Nd (0.197, 0.197, 0.366)
Nd (0.803, 0.803, 0.634)
Br (0.084, 0.487, 0.219)
Br (0.134, 0.134, 0.735)
Br (0.487, 0.084, 0.219)
Br (0.500, 0.500, 0.500)
Br (0.513, 0.916, 0.781)
Br (0.866, 0.866, 0.265)
Br (0.916, 0.513, 0.781)